The following is a PBE calculation of a geometry-optimized Sm3DyHo5 structure, from the Alexandria database.

a b c (Å): 9.492 9.492 9.949
angles (deg): 121.38 121.38 73.37
Fractional coordinates of all 18 atoms:
1 Sm 0.000 0.000 0.000
2 Sm 0.008 0.008 0.310
3 Sm 0.478 0.478 0.138
4 Sm 0.500 0.500 0.500
5 Sm 0.522 0.522 0.862
6 Sm 0.992 0.992 0.690
7 Dy 0.252 0.252 0.100
8 Dy 0.748 0.748 0.900
9 Ho 0.093 0.594 0.750
10 Ho 0.219 0.219 0.727
11 Ho 0.242 0.758 0.500
12 Ho 0.277 0.277 0.462
13 Ho 0.406 0.907 0.250
14 Ho 0.594 0.093 0.750
15 Ho 0.723 0.723 0.538
16 Ho 0.758 0.242 0.500
17 Ho 0.781 0.781 0.273
18 Ho 0.907 0.406 0.250

As for the space group: No. 12. The value obtained for the magnetization is 0.01 μB/f.u. The calculation puts the calculated density at 7.3 g/cm³. Its crystal system is monoclinic. Its energy above the most stable polymorph in this dataset is 228.5 meV per atom. The calculation puts the electronic total energy at -4.10 eV per atom. The formation enthalpy at 0 K comes out at 526 meV per atom.



The following is a PBE calculation of a geometry-optimized LiLa2Ga3Ag4 structure, from the Alexandria database.

a b c (Å): 4.485 4.485 10.732
angles (deg): 90.00 90.00 90.00
Fractional coordinates of all 10 atoms:
1 Li 0.000 0.000 0.000
2 La 0.000 0.500 0.743
3 La 0.500 0.000 0.257
4 Ga 0.000 0.500 0.364
5 Ga 0.500 0.000 0.636
6 Ga 0.500 0.500 0.000
7 Ag 0.000 0.000 0.500
8 Ag 0.000 0.500 0.125
9 Ag 0.500 0.000 0.875
10 Ag 0.500 0.500 0.500

As for the space group: No. 115. The value obtained for the magnetization is 0.00 μB/f.u. The calculation puts the calculated density at 7.1 g/cm³. Its crystal system is tetragonal. The calculation puts the electronic total energy at -3.58 eV per atom. The formation enthalpy at 0 K comes out at -359 meV per atom.